A geometry-optimized Rb2PmFe2O6 structure, computed with PBE with a Hubbard U.

CIF file:
```
data_Rb2PmFe2O6
_cell_length_a 6.2080
_cell_length_b 6.2080
_cell_length_c 18.2381
_cell_angle_alpha 90.00
_cell_angle_beta 90.00
_cell_angle_gamma 120.00
_space_group_name_H-M_alt 'R -3 m'
_space_group_IT_number 166
_space_group_name_Hall '-R 3 2"'
loop_
_atom_site_label
_atom_site_type_symbol
_atom_site_fract_x
_atom_site_fract_y
_atom_site_fract_z
_atom_site_occupancy
Rb1 Rb 0.0000 0.0000 0.2152 1
Pm1 Pm 0.0000 0.0000 0.0000 1
Fe1 Fe 0.0000 0.0000 0.4258 1
O1 O 0.0059 0.5030 0.2526 1
```

Values from the calculation:
DOS(E_F) = 20.7 states/eV/cell
DFT total energy = -5.9797 eV/atom
Crystal system = trigonal